w) Density functional theory data (PBE) for a geometry-optimized BePbCl2 structure. Values from VASP.

Cell and atoms, written as Quantum ESPRESSO input:
```
&SYSTEM
  ibrav = 0, nat = 4, ntyp = 3
/
ATOMIC_SPECIES
Pb 207.20 Pb.upf
Be 9.01 Be.upf
Cl 35.45 Cl.upf
ATOMIC_POSITIONS crystal
Pb 0.0000 0.6446 0.5405
Be 0.5000 0.6603 0.8891
Cl 0.0000 0.9276 0.8508
Cl 0.5000 0.2675 0.2196
CELL_PARAMETERS angstrom
3.2659 0.0000 0.0000
0.0000 5.6777 0.1042
0.0000 4.4960 5.6206
```



x) Density functional theory data (PBE) for a geometry-optimized BePbCl2 structure. Values from VASP.

Cell and atoms, written as Quantum ESPRESSO input:
```
&SYSTEM
  ibrav = 0, nat = 4, ntyp = 3
/
ATOMIC_SPECIES
Pb 207.20 Pb.upf
Be 9.01 Be.upf
Cl 35.45 Cl.upf
ATOMIC_POSITIONS crystal
Pb 0.5000 0.2500 0.2500
Be 0.5000 0.7500 0.7500
Cl 0.0000 0.9099 0.9101
Cl 0.0000 0.5901 0.5899
CELL_PARAMETERS angstrom
3.1667 0.0000 0.0000
0.0000 5.6571 -0.0267
0.0000 1.9277 5.3312
```



y) Density functional theory data (PBE) for a geometry-optimized BePbCl2 structure. Values from VASP.

Cell and atoms, written as Quantum ESPRESSO input:
```
&SYSTEM
  ibrav = 0, nat = 4, ntyp = 3
/
ATOMIC_SPECIES
Pb 207.20 Pb.upf
Be 9.01 Be.upf
Cl 35.45 Cl.upf
ATOMIC_POSITIONS crystal
Pb 0.5000 0.0000 0.5000
Be 0.0000 0.5000 0.5000
Cl 0.0000 0.0000 0.0000
Cl 0.5000 0.5000 0.0000
CELL_PARAMETERS angstrom
-0.5672 -2.3451 2.7499
2.2279 -4.2750 -3.1861
4.0231 0.9037 1.6006
```



Stability summary - winner: w); margin: 21.1 kJ/mol of atoms.